Entry 1:
Compound: AlAsPb3
Source: Alexandria
Functional: PBE
Structure: optimized geometry

Space group: Pm-3m (221)
Total moment (μB per cell): 0.00
E (eV per cell): -16.954

Cell lengths 5.3778, 5.3778, 5.3778 Å; angles 90.00, 90.00, 90.00 degrees
Last column: nearest neighbours and their distance in Å.
Fractional positions:
As1 0.5000 0.5000 0.5000  12 Pb 3.80
Al1 0.0000 0.0000 0.0000  6 Pb 2.69
Pb1 0.0000 0.0000 0.5000  2 Al 2.69
Pb2 0.5000 0.0000 0.0000  2 Al 2.69
Pb3 0.0000 0.5000 0.0000  2 Al 2.69

---

Entry 2:
Compound: Al2AsPb
Source: Alexandria
Functional: PBE
Structure: optimized geometry

Space group: I4/mmm (139)
Total moment (μB per cell): 0.00
E (eV per cell): -14.683

Cell lengths 5.7150, 5.7150, 5.7150 Å; angles 135.85, 135.85, 64.21 degrees
Last column: nearest neighbours and their distance in Å.
Fractional positions:
As1 0.2500 0.7500 0.5000  4 Pb 3.04, 8 Al 3.24
Al1 0.5000 0.5000 0.0000  4 Al 3.04, 4 As 3.24, 4 Pb 3.24
Al2 0.0000 0.0000 0.0000  4 Al 3.04, 4 Pb 3.24, 4 As 3.24
Pb1 0.7500 0.2500 0.5000  4 As 3.04, 8 Al 3.24

---

Entry 3:
Compound: Al2AsPb
Source: Alexandria
Functional: PBE
Structure: optimized geometry

Space group: Imm2 (44)
Total moment (μB per cell): 0.00
E (eV per cell): -15.077

Cell lengths 5.7569, 5.7569, 5.7569 Å; angles 143.34, 127.94, 65.35 degrees
Last column: nearest neighbours and their distance in Å.
Fractional positions:
Al1 0.0283 0.0283 0.0000  2 Al 2.96, 4 As 3.18, 4 Pb 3.28-3.30
Al2 0.2699 0.7699 0.5000  2 As 2.57
Pb1 0.7440 0.2440 0.5000  8 Al 3.12-3.30, 4 As 3.27-3.31
As1 0.4579 0.4579 0.0000  2 Al 2.57

---

Entry 4:
Compound: Al2AsPb
Source: Alexandria
Functional: PBE
Structure: optimized geometry

Space group: Cmmm (65)
Total moment (μB per cell): 0.00
E (eV per cell): -14.787

Cell lengths 4.7634, 4.7634, 3.8492 Å; angles 90.00, 90.00, 95.80 degrees
Last column: nearest neighbours and their distance in Å.
Fractional positions:
Al1 0.5000 0.5000 0.0000  4 As 3.06, 4 Pb 3.06, 2 Al 3.19
Al2 0.0000 0.0000 0.0000  4 Pb 3.06, 4 As 3.06, 2 Al 3.19
Pb1 0.0000 0.5000 0.5000  8 Al 3.06, 2 As 3.19
As1 0.5000 0.0000 0.5000  8 Al 3.06, 2 Pb 3.19

---

Entry 5:
Compound: Al2AsPb
Source: Alexandria
Functional: PBE
Structure: optimized geometry

Space group: Immm (71)
Total moment (μB per cell): 0.00
E (eV per cell): -15.110

Cell lengths 5.6785, 5.6785, 5.6785 Å; angles 143.00, 124.46, 68.63 degrees
Last column: nearest neighbours and their distance in Å.
Fractional positions:
As1 0.2500 0.7500 0.5000  4 Al 2.66
Pb1 0.7500 0.2500 0.5000  4 As 3.20, 8 Al 3.27-3.29
Al1 0.4593 0.4593 0.0000  2 As 2.66
Al2 0.0407 0.0407 0.0000  2 As 2.66

---

Entry 6:
Compound: Al2AsPb2
Source: Alexandria
Functional: PBE
Structure: optimized geometry

Space group: I4/mmm (139)
Total moment (μB per cell): 0.00
E (eV per cell): -17.091

Cell lengths 7.0052, 7.0052, 7.0052 Å; angles 141.51, 141.51, 55.56 degrees
Last column: nearest neighbours and their distance in Å.
Fractional positions:
Al1 0.4012 0.4012 0.0000  1 Al 2.45
Al2 0.5988 0.5988 0.0000  1 Al 2.45
As1 0.0000 0.0000 0.0000  8 Al 3.49, 8 Pb 3.86
Pb1 0.7500 0.2500 0.5000  4 Al 2.97, 4 Pb 3.27
Pb2 0.2500 0.7500 0.5000  4 Al 2.97, 4 Pb 3.27

---

Entry 7:
Compound: Al2AsPb
Source: Alexandria
Functional: PBE
Structure: optimized geometry

Space group: R3m (160)
Total moment (μB per cell): 0.00
E (eV per cell): -15.212

Cell lengths 9.5925, 9.5925, 9.5925 Å; angles 20.20, 20.20, 20.20 degrees
Last column: nearest neighbours and their distance in Å.
Fractional positions:
Al1 0.2461 0.2461 0.2461  3 As 2.54, 3 Al 2.84
Al2 0.9861 0.9861 0.9861  3 Al 2.84
As1 0.5214 0.5214 0.5214  3 Al 2.54
Pb1 0.7465 0.7465 0.7465  3 Al 3.28, 6 Pb 3.36, 3 As 3.62

---

Entry 8:
Compound: AlAs2Pb2
Source: Alexandria
Functional: PBE
Structure: optimized geometry

Space group: I4/mmm (139)
Total moment (μB per cell): 0.00
E (eV per cell): -19.305

Cell lengths 3.7865, 3.7865, 9.3452 Å; angles 78.31, 78.31, 90.00 degrees
Last column: nearest neighbours and their distance in Å.
Fractional positions:
As1 0.7500 0.2500 0.5000  4 As 2.68
As2 0.2500 0.7500 0.5000  4 As 2.68
Pb1 0.3994 0.3994 0.2013  4 Al 3.23, 4 As 3.28, 1 Pb 3.60
Pb2 0.6006 0.6006 0.7987  4 Al 3.23, 4 As 3.28, 1 Pb 3.60
Al1 0.0000 0.0000 0.0000  8 Pb 3.23

---

Entry 9:
Compound: Al2AsPb2
Source: Alexandria
Functional: PBE
Structure: optimized geometry

Space group: P4/mbm (127)
Total moment (μB per cell): 0.00
E (eV per cell): -37.653

Cell lengths 6.8174, 6.8174, 5.2440 Å; angles 90.00, 90.00, 90.00 degrees
Last column: nearest neighbours and their distance in Å.
Fractional positions:
Al1 0.8615 0.6385 0.0000  2 As 2.64, 1 Al 2.67
Al2 0.1385 0.3615 0.0000  2 As 2.64, 1 Al 2.67
Al3 0.6385 0.1385 0.0000  2 As 2.64, 1 Al 2.67
Al4 0.3615 0.8615 0.0000  2 As 2.64, 1 Al 2.67
Pb1 0.6827 0.8173 0.5000  6 Al 3.14-3.43
Pb2 0.3173 0.1827 0.5000  6 Al 3.14-3.43
Pb3 0.8173 0.3173 0.5000  6 Al 3.14-3.43
Pb4 0.1827 0.6827 0.5000  6 Al 3.14-3.43
As1 0.5000 0.5000 0.0000  4 Al 2.64
As2 0.0000 0.0000 0.0000  4 Al 2.64

---

Entry 10:
Compound: AlAsPb2
Source: Alexandria
Functional: PBE
Structure: optimized geometry

Space group: P4/mmm (123)
Total moment (μB per cell): 0.00
E (eV per cell): -14.877

Cell lengths 5.5974, 5.5974, 3.2538 Å; angles 90.01, 90.01, 90.01 degrees
Last column: nearest neighbours and their distance in Å.
Fractional positions:
As1 0.0000 0.5000 0.5000  8 Pb 3.24, 2 As 3.25
Pb1 0.5000 0.5000 0.0000  4 Al 3.24, 4 As 3.24, 2 Pb 3.25
Pb2 0.0000 0.0000 0.0000  4 As 3.24, 4 Al 3.24, 2 Pb 3.25
Al1 0.5000 0.0000 0.5000  8 Pb 3.24, 2 Al 3.25

---

Entry 11:
Compound: AlAs3Pb
Source: Alexandria
Functional: PBE
Structure: optimized geometry

Space group: Pm-3m (221)
Total moment (μB per cell): 0.00
E (eV per cell): -15.668

Cell lengths 5.4290, 5.4290, 5.4290 Å; angles 90.00, 90.00, 90.00 degrees
Last column: nearest neighbours and their distance in Å.
Fractional positions:
As1 0.0000 0.0000 0.5000  2 Pb 2.71
As2 0.5000 0.0000 0.0000  2 Pb 2.71
As3 0.0000 0.5000 0.0000  2 Pb 2.71
Al1 0.5000 0.5000 0.5000  12 As 3.84
Pb1 0.0000 0.0000 0.0000  6 As 2.71

---

Entry 12:
Compound: AlAs2Pb2
Source: Alexandria
Functional: PBE
Structure: optimized geometry

Space group: P4/mbm (127)
Total moment (μB per cell): 0.00
E (eV per cell): -40.549

Cell lengths 6.5117, 6.5117, 6.2143 Å; angles 90.00, 90.00, 90.00 degrees
Last column: nearest neighbours and their distance in Å.
Fractional positions:
Pb1 0.3088 0.8088 0.5000  2 As 3.15, 5 Pb 3.34-3.52
Pb2 0.8088 0.6912 0.5000  2 As 3.15, 5 Pb 3.34-3.52
Pb3 0.1912 0.3088 0.5000  2 As 3.15, 5 Pb 3.34-3.52
Pb4 0.6912 0.1912 0.5000  2 As 3.15, 5 Pb 3.34-3.52
As1 0.3646 0.8646 0.0000  1 As 2.49, 2 Al 2.53
As2 0.8646 0.6354 0.0000  1 As 2.49, 2 Al 2.53
As3 0.6354 0.1354 0.0000  1 As 2.49, 2 Al 2.53
As4 0.1354 0.3646 0.0000  1 As 2.49, 2 Al 2.53
Al1 0.0000 0.0000 0.0000  4 As 2.53
Al2 0.5000 0.5000 0.0000  4 As 2.53

---

Entry 13:
Compound: AlAsPb2
Source: Alexandria
Functional: PBE
Structure: optimized geometry

Space group: C2/m (12)
Total moment (μB per cell): 0.00
E (eV per cell): -15.653

Cell lengths 7.9823, 7.9823, 3.7665 Å; angles 76.74, 76.74, 26.84 degrees
Last column: nearest neighbours and their distance in Å.
Fractional positions:
Pb1 0.0774 0.0774 0.9233  2 As 3.20, 2 Al 3.20-3.23, 4 Pb 3.52-3.53
Pb2 0.4226 0.4226 0.5767  2 As 3.20, 2 Al 3.20-3.23, 4 Pb 3.52-3.53
Al1 0.2500 0.2500 0.2500  4 As 2.64
As1 0.7500 0.7500 0.7500  4 Al 2.64

---

Entry 14:
Compound: Al2AsPb
Source: Alexandria
Functional: PBE
Structure: optimized geometry

Space group: Cmm2 (35)
Total moment (μB per cell): 0.00
E (eV per cell): -15.091

Cell lengths 3.1322, 3.1322, 8.9856 Å; angles 90.00, 90.00, 97.15 degrees
Last column: nearest neighbours and their distance in Å.
Fractional positions:
Al1 0.5000 0.5000 0.2569  4 As 2.66-2.88, 2 Al 2.81
Al2 0.0000 0.0000 0.0451  8 Al 2.81-3.13
Pb1 0.5000 0.5000 0.7562  4 Pb 3.13, 4 Al 3.32-3.50, 2 As 3.50
As1 0.0000 0.0000 0.4418  4 Al 2.66-2.88

---

Entry 15:
Compound: AlAs3Pb
Source: Alexandria
Functional: PBE
Structure: optimized geometry

Space group: Pm-3m (221)
Total moment (μB per cell): 0.00
E (eV per cell): -19.802

Cell lengths 4.9434, 4.9434, 4.9434 Å; angles 90.00, 90.00, 90.00 degrees
Last column: nearest neighbours and their distance in Å.
Fractional positions:
Pb1 0.5000 0.5000 0.5000  12 As 3.50
As1 0.5000 0.0000 0.0000  2 Al 2.47
As2 0.0000 0.0000 0.5000  2 Al 2.47
As3 0.0000 0.5000 0.0000  2 Al 2.47
Al1 0.0000 0.0000 0.0000  6 As 2.47

---

Entry 16:
Compound: Al2AsPb
Source: Alexandria
Functional: PBE
Structure: optimized geometry

Space group: R-3m (166)
Total moment (μB per cell): 0.00
E (eV per cell): -15.852

Cell lengths 7.6896, 7.6896, 7.6896 Å; angles 28.34, 28.34, 28.34 degrees
Last column: nearest neighbours and their distance in Å.
Fractional positions:
Al1 0.9825 0.9825 0.9825  3 As 2.62
Al2 0.5175 0.5175 0.5175  3 As 2.62
Pb1 0.7500 0.7500 0.7500  6 Al 3.11
As1 0.2500 0.2500 0.2500  6 Al 2.62

---

Entry 17:
Compound: AlAsPb2
Source: Alexandria
Functional: PBE
Structure: optimized geometry

Space group: P4mm (99)
Total moment (μB per cell): 0.00
E (eV per cell): -15.542

Cell lengths 3.6180, 3.6180, 7.8022 Å; angles 90.00, 90.00, 90.00 degrees
Last column: nearest neighbours and their distance in Å.
Fractional positions:
As1 0.5000 0.5000 0.6707  4 Al 2.67
Al1 0.0000 0.0000 0.5751  4 As 2.67
Pb1 0.0000 0.0000 0.9702  1 Al 3.08
Pb2 0.5000 0.5000 0.2841  1 As 3.02

---

Entry 18:
Compound: AlAsPb2
Source: Alexandria
Functional: PBE
Structure: optimized geometry

Space group: Fm-3m (225)
Total moment (μB per cell): 0.00
E (eV per cell): -14.780

Cell lengths 5.2684, 5.2684, 5.2684 Å; angles 60.00, 60.00, 60.00 degrees
Last column: nearest neighbours and their distance in Å.
Fractional positions:
Al1 0.0000 0.0000 0.0000  8 Pb 3.23
Pb1 0.2500 0.2500 0.2500  4 Al 3.23, 4 As 3.23
Pb2 0.7500 0.7500 0.7500  4 Al 3.23, 4 As 3.23
As1 0.5000 0.5000 0.5000  8 Pb 3.23

---

Entry 19:
Compound: Al2AsPb
Source: Alexandria
Functional: PBE
Structure: optimized geometry

Space group: C2/m (12)
Total moment (μB per cell): 0.00
E (eV per cell): -14.658

Cell lengths 5.5872, 5.5872, 3.0805 Å; angles 82.46, 82.46, 110.60 degrees
Last column: nearest neighbours and their distance in Å.
Fractional positions:
Al1 0.0000 0.0000 0.0000  4 As 3.01-3.36, 4 Pb 3.01-3.36, 4 Al 3.08-3.18
Al2 0.5000 0.5000 0.0000  4 Pb 3.01-3.36, 4 As 3.01-3.36, 4 Al 3.08-3.18
Pb1 0.0000 0.5000 0.5000  8 Al 3.01-3.36, 2 Pb 3.08, 2 As 3.18
As1 0.5000 0.0000 0.5000  8 Al 3.01-3.36, 2 As 3.08, 2 Pb 3.18

---

Entry 20:
Compound: AlAsPb2
Source: Alexandria
Functional: PBE
Structure: optimized geometry

Space group: Imm2 (44)
Total moment (μB per cell): 0.00
E (eV per cell): -15.437

Cell lengths 6.0374, 6.0374, 6.0374 Å; angles 143.60, 127.47, 65.59 degrees
Last column: nearest neighbours and their distance in Å.
Fractional positions:
Pb1 0.9820 0.9820 0.0000  4 Al 3.32, 4 As 3.38-3.50, 4 Pb 3.40-3.52
Pb2 0.2743 0.7743 0.5000  4 Al 3.28-3.59, 4 As 3.34, 4 Pb 3.40-3.52
As1 0.7054 0.2054 0.5000  2 Al 2.54
Al1 0.5383 0.5383 0.0000  2 As 2.54

---

Calculated energy of formation from the pure elements (eV per atom), listed in the same order as above: 0.513, 0.290, 0.192, 0.264, 0.183, 0.492, 0.158, 0.231, 0.145, 0.233, 1.146, 0.037, 0.039, 0.188, 0.320, -0.002, 0.067, 0.257, 0.296, 0.093
Calculated V (Å³/atom), listed in the same order as above: 31.1, 22.3, 22.2, 21.7, 22.4, 26.4, 23.0, 25.7, 24.4, 25.5, 32.0, 26.4, 26.3, 21.9, 24.2, 22.6, 25.5, 25.8, 21.9, 25.6